(1)
Density functional theory data (PBE) for a relaxed structure of Sc2Al5Ir3.

Lattice parameters (Å, degrees): 7.8481 7.8481 5.5144 98.00 98.00 98.52
Closest atoms and distances in Å follow each position.
Fractional coordinates of all 20 atoms:
Sc (0.1145, 0.6668, 0.9170)  2 Ir 2.80-2.83, 6 Al 2.82-3.10
Sc (0.3332, 0.8855, 0.5830)  2 Ir 2.80-2.83, 6 Al 2.82-3.10
Sc (0.6668, 0.1145, 0.4170)  2 Ir 2.80-2.83, 6 Al 2.82-3.10
Sc (0.8855, 0.3332, 0.0830)  2 Ir 2.80-2.83, 6 Al 2.82-3.10
Al (0.0005, 0.9995, 0.7500)  4 Ir 2.63-2.66, 4 Al 2.76-2.90
Al (0.2206, 0.5272, 0.4010)  4 Ir 2.49-2.68, 2 Al 2.57-2.78
Al (0.2367, 0.3251, 0.9521)  4 Ir 2.51-2.72, 2 Al 2.57-2.78
Al (0.3251, 0.2367, 0.4521)  4 Ir 2.51-2.72, 2 Al 2.57-2.78
Al (0.4728, 0.7794, 0.0990)  4 Ir 2.49-2.68, 2 Al 2.57-2.78
Al (0.5272, 0.2206, 0.9010)  4 Ir 2.49-2.68, 2 Al 2.57-2.78
Al (0.6749, 0.7633, 0.5479)  4 Ir 2.51-2.72, 2 Al 2.57-2.78
Al (0.7633, 0.6749, 0.0479)  4 Ir 2.51-2.72, 2 Al 2.57-2.78
Al (0.7794, 0.4728, 0.5990)  4 Ir 2.49-2.68, 2 Al 2.57-2.78
Al (0.9995, 0.0005, 0.2500)  4 Ir 2.63-2.66, 4 Al 2.76-2.90
Ir (0.0143, 0.2931, 0.5675)  6 Al 2.49-2.69
Ir (0.2931, 0.0143, 0.0675)  6 Al 2.49-2.69
Ir (0.4777, 0.5223, 0.7500)  8 Al 2.60-2.72, 2 Ir 2.81
Ir (0.5223, 0.4777, 0.2500)  8 Al 2.60-2.72, 2 Ir 2.81
Ir (0.7069, 0.9857, 0.9325)  6 Al 2.49-2.69
Ir (0.9857, 0.7069, 0.4325)  6 Al 2.49-2.69

ΔH_f (0 K) in eV per formula unit: -8.0
Space group: No. 15

***

(2)
Density functional theory data (PBE) for a relaxed structure of CoSbOs.

Lattice parameters (Å, degrees): 4.2411 4.2411 2.9555 90.00 90.00 120.00
Closest atoms and distances in Å follow each position.
Fractional coordinates of all 3 atoms:
Co (0.0000, 0.0000, 0.0000)  3 Sb 2.47
Sb (0.3333, 0.6667, 0.9037)  3 Co 2.47, 3 Os 2.75
Os (0.6667, 0.3333, 0.4780)  6 Sb 2.75-2.98, 6 Co 2.83-2.89, 2 Os 2.96

Space group: No. 156
E_form (uncorrected) in meV/atom: 562

***

(3)
Density functional theory data (PBE) for a relaxed structure of AcLa3.

Lattice parameters (Å, degrees): 5.3514 5.3514 5.3514 90.00 90.00 90.00
Closest atoms and distances in Å follow each position.
Fractional coordinates of all 4 atoms:
Ac (0.0000, 0.0000, 0.0000)  12 La 3.78
La (0.0000, 0.5000, 0.5000)  4 Ac 3.78, 8 La 3.78
La (0.5000, 0.0000, 0.5000)  4 Ac 3.78, 8 La 3.78
La (0.5000, 0.5000, 0.0000)  4 Ac 3.78, 8 La 3.78

ΔH_f (0 K) in eV per formula unit: 0.0
Space group: No. 221

***

(4)
Density functional theory data (PBE) for a relaxed structure of La2HgN.

Lattice parameters (Å, degrees): 8.3441 7.2037 7.0917 90.00 91.15 90.00
Closest atoms and distances in Å follow each position.
Fractional coordinates of all 16 atoms:
La (0.0912, 0.1609, 0.3436)  3 N 2.42-2.63
La (0.0912, 0.3391, 0.8436)  3 N 2.42-2.63
La (0.2932, 0.6727, 0.5250)  1 N 2.26
La (0.2932, 0.8273, 0.0250)  1 N 2.26
La (0.7068, 0.1727, 0.9750)  1 N 2.26
La (0.7068, 0.3273, 0.4750)  1 N 2.26
La (0.9088, 0.6609, 0.1564)  3 N 2.42-2.63
La (0.9088, 0.8391, 0.6564)  3 N 2.42-2.63
Hg (0.3966, 0.1037, 0.6589)  1 Hg 3.23, 6 La 3.34-3.43
Hg (0.3966, 0.3963, 0.1589)  1 Hg 3.23, 6 La 3.34-3.43
Hg (0.6034, 0.6037, 0.8411)  1 Hg 3.23, 6 La 3.34-3.43
Hg (0.6034, 0.8963, 0.3411)  1 Hg 3.23, 6 La 3.34-3.43
N (0.0976, 0.6749, 0.8635)  3 La 2.26-2.44
N (0.0976, 0.8251, 0.3635)  3 La 2.26-2.44
N (0.9024, 0.1749, 0.6365)  3 La 2.26-2.44
N (0.9024, 0.3251, 0.1365)  3 La 2.26-2.44

Space group: No. 14
E_form (uncorrected) in meV/atom: -857

***

(5)
Density functional theory data (PBE) for a relaxed structure of BeCo2Si.

Lattice parameters (Å, degrees): 3.8591 3.8591 3.8591 60.00 60.00 60.00
Closest atoms and distances in Å follow each position.
Fractional coordinates of all 4 atoms:
Be (0.0000, 0.0000, 0.0000)  4 Co 2.36, 4 Si 2.36
Co (0.5000, 0.5000, 0.5000)  4 Co 2.36, 4 Si 2.36
Co (0.7500, 0.7500, 0.7500)  4 Be 2.36, 4 Co 2.36
Si (0.2500, 0.2500, 0.2500)  4 Co 2.36, 4 Be 2.36

Space group: No. 216
E_form (uncorrected) in meV/atom: -160

***

(6)
Density functional theory data (PBE) for a relaxed structure of La4Pt.

Lattice parameters (Å, degrees): 6.7973 6.7973 6.7973 94.45 94.45 147.64
Closest atoms and distances in Å follow each position.
Fractional coordinates of all 5 atoms:
La (0.0768, 0.7399, 0.8167)  2 Pt 3.14
La (0.2601, 0.0768, 0.3369)  2 Pt 3.14
La (0.7399, 0.9232, 0.6631)  2 Pt 3.14
La (0.9232, 0.2601, 0.1833)  2 Pt 3.14
Pt (0.5000, 0.5000, 0.0000)  8 La 3.14

ΔH_f (0 K) in eV per formula unit: -2.2
Space group: No. 87